No. 1
DFT (SCAN) results for a PBEsol-optimized structure of PdSeS3.

Properties
size of the total moment	0.00	μB/f.u.
SG	Pm-3m, No. 221
formation energy without anion corrections	0.7440	eV per atom

Cell: 4.5829 4.5829 4.5829 Å, 90.00 90.00 90.00°
Closest atoms and distances in Å follow each position.
Sites, in units of the cell vectors:
Pd 0.0000 0.0000 0.0000  6 S 2.29
Se 0.5000 0.5000 0.5000  12 S 3.24
S 0.0000 0.0000 0.5000  2 Pd 2.29
S 0.0000 0.5000 0.0000  2 Pd 2.29
S 0.5000 0.0000 0.0000  2 Pd 2.29



No. 2
DFT (SCAN) results for a PBEsol-optimized structure of SrPdSeS2.

Properties
size of the total moment	0.00	μB/f.u.
SG	P4/mmm, No. 123
formation energy without anion corrections	-0.7831	eV per atom

Cell: 4.6983 4.6983 4.9812 Å, 90.00 90.00 90.00°
Closest atoms and distances in Å follow each position.
Sites, in units of the cell vectors:
Sr 0.0000 0.0000 0.0000  4 Se 3.32, 8 S 3.42
Pd 0.5000 0.5000 0.5000  4 S 2.35, 2 Se 2.49
Se 0.5000 0.5000 0.0000  2 Pd 2.49
S 0.0000 0.5000 0.5000  2 Pd 2.35
S 0.5000 0.0000 0.5000  2 Pd 2.35



No. 3
DFT (SCAN) results for a PBEsol-optimized structure of ZrPdSe2S.

Properties
size of the total moment	0.99	μB/f.u.
SG	P4/mmm, No. 123
formation energy without anion corrections	0.1729	eV per atom

Cell: 4.7857 4.7857 4.3689 Å, 90.00 90.00 90.00°
Closest atoms and distances in Å follow each position.
Sites, in units of the cell vectors:
Zr 0.0000 0.0000 0.0000  8 Se 3.24, 4 Pd 3.38
Pd 0.5000 0.5000 0.0000  2 S 2.18
Se 0.0000 0.5000 0.5000  2 S 2.39
Se 0.5000 0.0000 0.5000  2 S 2.39
S 0.5000 0.5000 0.5000  2 Pd 2.18, 4 Se 2.39



No. 4
DFT (SCAN) results for a PBEsol-optimized structure of SiPdS3.

Properties
size of the total moment	0.00	μB/f.u.
SG	C2/m, No. 12
formation energy without anion corrections	-0.6342	eV per atom

Cell: 7.2914 7.2914 9.0410 Å, 106.31 106.31 26.95°
Closest atoms and distances in Å follow each position.
Sites, in units of the cell vectors:
Si 0.0847 0.0847 0.2999  4 S 2.14-2.16
Si 0.9153 0.9153 0.7001  4 S 2.14-2.16
Pd 0.3913 0.3913 0.0284  4 S 2.31-2.32
Pd 0.6087 0.6087 0.9716  4 S 2.31-2.32
S 0.0724 0.0724 0.7906  1 Si 2.14, 2 Pd 2.31
S 0.1739 0.1739 0.1450  1 Si 2.14, 2 Pd 2.32
S 0.3733 0.3733 0.5477  2 Si 2.16
S 0.6267 0.6267 0.4523  2 Si 2.16
S 0.8261 0.8261 0.8550  1 Si 2.14, 2 Pd 2.32
S 0.9276 0.9276 0.2094  1 Si 2.14, 2 Pd 2.31



No. 5
DFT (SCAN) results for a PBEsol-optimized structure of Tl2SnPdS.

Properties
size of the total moment	0.00	μB/f.u.
SG	P4/mmm, No. 123
formation energy without anion corrections	0.6704	eV per atom

Cell: 5.6156 5.6156 4.8859 Å, 90.00 90.00 90.00°
Closest atoms and distances in Å follow each position.
Sites, in units of the cell vectors:
Tl 0.0000 0.5000 0.0000  2 Sn 2.81
Tl 0.5000 0.0000 0.0000  2 Sn 2.81
Sn 0.0000 0.0000 0.0000  2 S 2.44
Pd 0.5000 0.5000 0.5000  8 Tl 3.72, 4 S 3.97
S 0.0000 0.0000 0.5000  2 Sn 2.44



No. 6
DFT (SCAN) results for a PBEsol-optimized structure of TcPdS3.

Properties
size of the total moment	0.00	μB/f.u.
SG	Pm-3m, No. 221
formation energy without anion corrections	0.4896	eV per atom

Cell: 4.5312 4.5312 4.5312 Å, 90.00 90.00 90.00°
Closest atoms and distances in Å follow each position.
Sites, in units of the cell vectors:
Tc 0.0000 0.0000 0.0000  6 S 2.27
Pd 0.5000 0.5000 0.5000  12 S 3.20
S 0.0000 0.0000 0.5000  2 Tc 2.27
S 0.0000 0.5000 0.0000  2 Tc 2.27
S 0.5000 0.0000 0.0000  2 Tc 2.27



No. 7
DFT (SCAN) results for a PBEsol-optimized structure of Ti3PdS.

Properties
size of the total moment	0.00	μB/f.u.
SG	Pm-3m, No. 221
formation energy without anion corrections	-0.5031	eV per atom

Cell: 4.3817 4.3817 4.3817 Å, 90.00 90.00 90.00°
Closest atoms and distances in Å follow each position.
Sites, in units of the cell vectors:
Ti 0.0000 0.0000 0.5000  2 S 2.19
Ti 0.0000 0.5000 0.0000  2 S 2.19
Ti 0.5000 0.0000 0.0000  2 S 2.19
Pd 0.5000 0.5000 0.5000  12 Ti 3.10
S 0.0000 0.0000 0.0000  6 Ti 2.19



No. 8
DFT (SCAN) results for a PBEsol-optimized structure of TiPdS2.

Properties
size of the total moment	0.00	μB/f.u.
SG	Fm-3m, No. 225
formation energy without anion corrections	-0.6370	eV per atom

Cell: 4.3140 4.3140 4.3140 Å, 60.00 60.00 60.00°
Closest atoms and distances in Å follow each position.
Sites, in units of the cell vectors:
Ti 0.0000 0.0000 0.0000  8 S 2.64
Pd 0.5000 0.5000 0.5000  8 S 2.64
S 0.2500 0.2500 0.2500  4 Pd 2.64, 4 Ti 2.64
S 0.7500 0.7500 0.7500  4 Pd 2.64, 4 Ti 2.64



No. 9
DFT (SCAN) results for a PBEsol-optimized structure of TlPdS3.

Properties
size of the total moment	2.26	μB/f.u.
SG	Pm-3m, No. 221
formation energy without anion corrections	0.2398	eV per atom

Cell: 4.6964 4.6964 4.6964 Å, 90.00 90.00 90.00°
Closest atoms and distances in Å follow each position.
Sites, in units of the cell vectors:
Tl 0.0000 0.0000 0.0000  12 S 3.32
Pd 0.5000 0.5000 0.5000  6 S 2.35
S 0.0000 0.5000 0.5000  2 Pd 2.35
S 0.5000 0.0000 0.5000  2 Pd 2.35
S 0.5000 0.5000 0.0000  2 Pd 2.35



No. 10
DFT (SCAN) results for a PBEsol-optimized structure of U7Pd24S32.

Properties
size of the total moment	16.49	μB/f.u.
SG	Im-3, No. 204
formation energy without anion corrections	-0.8101	eV per atom

Cell: 11.3431 11.3431 11.3431 Å, 109.47 109.47 109.47°
Closest atoms and distances in Å follow each position.
Sites, in units of the cell vectors:
U 0.0000 0.0000 0.5000  8 S 2.72-2.84
U 0.0000 0.5000 0.0000  8 S 2.72-2.84
U 0.0000 0.5000 0.5000  8 S 2.83
U 0.5000 0.0000 0.0000  8 S 2.72-2.84
U 0.5000 0.0000 0.5000  8 S 2.83
U 0.5000 0.5000 0.0000  8 S 2.83
U 0.5000 0.5000 0.5000  8 S 2.72-2.84
Pd 0.1164 0.2492 0.8673  4 S 2.31
Pd 0.1254 0.7510 0.3744  4 S 2.32
Pd 0.1327 0.3819 0.2492  4 S 2.31
Pd 0.1327 0.8836 0.7508  4 S 2.31
Pd 0.2492 0.1327 0.3819  4 S 2.31
Pd 0.2490 0.3744 0.6234  4 S 2.32
Pd 0.2490 0.6256 0.8746  4 S 2.32
Pd 0.2492 0.8673 0.1164  4 S 2.31
Pd 0.3744 0.1254 0.7510  4 S 2.32
Pd 0.3744 0.6234 0.2490  4 S 2.32
Pd 0.3766 0.7510 0.6256  4 S 2.32
Pd 0.3819 0.2492 0.1327  4 S 2.31
Pd 0.6181 0.7508 0.8673  4 S 2.31
Pd 0.6234 0.2490 0.3744  4 S 2.32
Pd 0.6256 0.3766 0.7510  4 S 2.32
Pd 0.6256 0.8746 0.2490  4 S 2.32
Pd 0.7508 0.1327 0.8836  4 S 2.31
Pd 0.7510 0.3744 0.1254  4 S 2.32
Pd 0.7510 0.6256 0.3766  4 S 2.32
Pd 0.7508 0.8673 0.6181  4 S 2.31
Pd 0.8673 0.1164 0.2492  4 S 2.31
Pd 0.8673 0.6181 0.7508  4 S 2.31
Pd 0.8746 0.2490 0.6256  4 S 2.32
Pd 0.8836 0.7508 0.1327  4 S 2.31
S 0.0000 0.0000 0.2605  3 Pd 2.31
S 0.0000 0.0000 0.7395  3 Pd 2.31
S 0.0000 0.2605 0.0000  3 Pd 2.31
S 0.0000 0.7395 0.0000  3 Pd 2.31
S 0.0017 0.5006 0.2508  3 Pd 2.31-2.32
S 0.0017 0.7509 0.5011  3 Pd 2.31-2.32
S 0.2491 0.2508 0.7503  3 Pd 2.31-2.32
S 0.2491 0.4989 0.9983  3 Pd 2.31-2.32
S 0.2497 0.5006 0.4989  3 Pd 2.31-2.32
S 0.2497 0.7509 0.7492  3 Pd 2.31-2.32
S 0.2508 0.0017 0.5006  3 Pd 2.31-2.32
S 0.2508 0.7503 0.2491  3 Pd 2.31-2.32
S 0.2605 0.0000 0.0000  3 Pd 2.31
S 0.2605 0.2605 0.2605  3 Pd 2.31
S 0.4989 0.2497 0.5006  3 Pd 2.31-2.32
S 0.4994 0.5011 0.7503  3 Pd 2.31-2.32
S 0.4994 0.7492 0.9983  3 Pd 2.31-2.32
S 0.4989 0.9983 0.2491  3 Pd 2.31-2.32
S 0.5011 0.0017 0.7509  3 Pd 2.31-2.32
S 0.5006 0.2508 0.0017  3 Pd 2.31-2.32
S 0.5006 0.4989 0.2497  3 Pd 2.31-2.32
S 0.5011 0.7503 0.4994  3 Pd 2.31-2.32
S 0.7395 0.0000 0.0000  3 Pd 2.31
S 0.7395 0.7395 0.7395  3 Pd 2.31
S 0.7492 0.2497 0.7509  3 Pd 2.31-2.32
S 0.7492 0.9983 0.4994  3 Pd 2.31-2.32
S 0.7503 0.2491 0.2508  3 Pd 2.31-2.32
S 0.7503 0.4994 0.5011  3 Pd 2.31-2.32
S 0.7509 0.5011 0.0017  3 Pd 2.31-2.32
S 0.7509 0.7492 0.2497  3 Pd 2.31-2.32
S 0.9983 0.2491 0.4989  3 Pd 2.31-2.32
S 0.9983 0.4994 0.7492  3 Pd 2.31-2.32



No. 11
DFT (SCAN) results for a PBEsol-optimized structure of Pd2WS2.

Properties
size of the total moment	0.00	μB/f.u.
SG	I4/mmm, No. 139
formation energy without anion corrections	0.7370	eV per atom

Cell: 8.6398 8.6398 8.6398 Å, 159.34 159.34 29.39°
Closest atoms and distances in Å follow each position.
Sites, in units of the cell vectors:
Pd 0.0983 0.0983 0.0000  4 W 2.74, 4 S 2.97
Pd 0.9017 0.9017 0.0000  4 W 2.74, 4 S 2.97
W 0.5000 0.5000 0.0000  8 Pd 2.74
S 0.2500 0.7500 0.5000  4 S 2.19
S 0.7500 0.2500 0.5000  4 S 2.19



No. 12
DFT (SCAN) results for a PBEsol-optimized structure of PdW3S.

Properties
size of the total moment	0.00	μB/f.u.
SG	Pm-3m, No. 221
formation energy without anion corrections	2.7618	eV per atom

Cell: 4.6856 4.6856 4.6856 Å, 90.00 90.00 90.00°
Closest atoms and distances in Å follow each position.
Sites, in units of the cell vectors:
Pd 0.0000 0.0000 0.0000  6 W 2.34
W 0.0000 0.0000 0.5000  2 Pd 2.34
W 0.0000 0.5000 0.0000  2 Pd 2.34
W 0.5000 0.0000 0.0000  2 Pd 2.34
S 0.5000 0.5000 0.5000  12 W 3.31